1.
A relaxed Fe2Si2BiO9 crystal. Source: the Alexandria database, functional PBE with a Hubbard U.

extended XYZ file:
```
14
Lattice="4.503 2.656 -0.022 -4.503 2.656 -0.022 0.000 1.622 7.867" Properties=species:S:1:pos:R:3 pbc="T T T"
O 0.000 4.882 6.774
O 2.215 3.972 4.357
Fe 1.466 4.340 7.832
O 1.712 2.653 6.654
O 0.000 2.565 4.519
Si -1.546 2.630 5.042
O -1.712 2.653 6.654
Bi 0.000 5.362 2.068
O -1.628 4.449 1.008
Si 1.546 2.630 5.042
O 0.000 1.935 1.094
Fe -1.466 4.340 7.832
O 1.628 4.449 1.008
O -2.215 3.972 4.357
```

The density of states at the Fermi level comes out at 0.2678 states/eV/atom. The value obtained for the final energy is -96.90 eV for the cell shown. Its space group is Cm (8). The magnetization comes out at 9.000 μB per formula unit.

=====

2.
A relaxed Sm2FeBiO6 crystal. Source: the Alexandria database, functional PBE with a Hubbard U.

extended XYZ file:
```
10
Lattice="5.435 0.000 0.000 0.000 5.410 0.000 0.000 0.000 5.410" Properties=species:S:1:pos:R:3 pbc="T T T"
Sm 5.348 2.705 0.000
Sm 5.348 0.000 2.705
O 4.039 1.285 1.285
O 0.696 2.705 2.705
O 4.039 1.285 4.125
O 4.039 4.125 1.285
Bi 2.989 2.705 2.705
O 4.039 4.125 4.125
Fe 3.200 0.000 0.000
O 1.301 0.000 0.000
```

The density of states at the Fermi level comes out at 0.0000 states/eV/atom. The value obtained for the final energy is -70.47 eV for the cell shown. Its space group is P4mm (99). The magnetization comes out at 4.994 μB per formula unit.

=====

3.
A relaxed FeSnBi2O6 crystal. Source: the Alexandria database, functional PBE with a Hubbard U.

extended XYZ file:
```
20
Lattice="-4.488 2.421 -2.320 -2.896 -5.308 0.063 -2.738 1.580 7.271" Properties=species:S:1:pos:R:3 pbc="T T T"
O -4.615 -2.102 2.593
Bi -3.484 -4.613 1.849
O -7.570 -1.365 2.163
O -3.924 -0.948 5.214
O -6.525 -2.981 4.622
O -5.508 0.796 2.422
Bi -6.638 3.306 3.166
Fe -1.448 -2.654 0.031
O -3.597 1.675 0.393
O -6.198 -0.358 -0.200
O -6.463 1.514 5.334
Bi -5.946 -0.502 4.299
O -2.553 0.058 2.852
Sn -2.244 1.211 -1.160
O -8.662 -0.896 5.078
Bi -4.176 -0.804 0.715
Fe -3.613 2.001 2.476
Sn -2.817 -1.864 3.667
O -3.659 -2.820 -0.320
O -1.461 -0.410 -0.063
```

The density of states at the Fermi level comes out at 0.0000 states/eV/atom. The value obtained for the final energy is -121.76 eV for the cell shown. Its space group is P2_1/c (14). The magnetization comes out at 4.009 μB per formula unit.

=====

4.
A relaxed Sr2FeBiO5 crystal. Source: the Alexandria database, functional PBE with a Hubbard U.

extended XYZ file:
```
18
Lattice="3.556 0.000 0.000 -1.778 7.041 0.000 0.000 0.000 11.713" Properties=species:S:1:pos:R:3 pbc="T T T"
O 0.000 4.790 0.088
Fe 1.778 0.567 10.636
Sr 0.000 1.242 7.615
O 0.000 0.106 11.343
Sr 1.778 5.799 1.758
O 1.778 3.307 2.288
O 1.778 2.251 5.945
Bi 1.778 4.278 6.607
Bi 0.000 2.763 0.750
Fe 0.000 6.474 4.780
O 0.000 3.734 8.145
O 1.778 6.935 5.486
O 1.778 2.464 10.859
O 1.778 0.063 3.031
O 0.000 6.978 8.887
O 0.000 4.577 5.002
Sr 0.000 2.234 4.036
Sr 1.778 4.807 9.893
```

The density of states at the Fermi level comes out at 0.0000 states/eV/atom. The value obtained for the final energy is -111.15 eV for the cell shown. Its space group is Cmc2_1 (36). The magnetization comes out at 4.974 μB per formula unit.

=====

5.
A relaxed SrFe3Bi2O9 crystal. Source: the Alexandria database, functional PBE with a Hubbard U.

extended XYZ file:
```
15
Lattice="-1.219 0.022 -5.472 0.686 -4.865 2.700 -6.745 -0.117 1.502" Properties=species:S:1:pos:R:3 pbc="T T T"
O -5.359 -4.112 2.547
O -5.686 -1.792 1.260
Fe -2.975 -1.649 -2.215
O -1.339 -0.859 -1.208
O -3.982 -0.048 -1.985
Bi -0.647 -3.248 0.131
Sr -3.373 -0.058 0.751
Fe -4.304 -3.312 0.946
O -1.920 -0.849 -3.816
O -3.639 -2.480 -0.635
O -1.593 -3.168 -2.529
Bi -6.632 -1.712 -1.401
O -5.940 -4.101 -0.062
O -3.030 -2.491 2.101
Fe 0.000 0.000 0.000
```

The density of states at the Fermi level comes out at 0.1119 states/eV/atom. The value obtained for the final energy is -92.75 eV for the cell shown. Its space group is P-3m1 (164). The magnetization comes out at 14.000 μB per formula unit.

=====

6.
A relaxed SrFeBiO4 crystal. Source: the Alexandria database, functional PBE with a Hubbard U.

extended XYZ file:
```
14
Lattice="-2.648 2.168 -5.175 -0.379 -5.648 -2.173 -4.677 -1.663 5.137" Properties=species:S:1:pos:R:3 pbc="T T T"
Bi -4.951 -3.335 -3.159
Fe -5.243 -1.027 -0.647
O -6.236 -2.025 -1.956
Sr -0.946 -0.874 -1.793
O -1.650 -5.839 -1.302
O -6.054 0.697 -0.909
Fe -2.461 -4.115 -1.564
O -1.467 -3.117 -0.255
O -5.260 -1.697 1.097
O -4.343 -4.115 -1.238
Sr -6.758 -4.268 -0.418
O -2.444 -3.446 -3.308
Bi -2.753 -1.807 0.948
O -3.360 -1.028 -0.973
```

The density of states at the Fermi level comes out at 0.0000 states/eV/atom. The value obtained for the final energy is -86.33 eV for the cell shown. Its space group is P2_1/m (11). The magnetization comes out at 4.999 μB per formula unit.

=====

7.
A relaxed SrFeBi2O4 crystal. Source: the Alexandria database, functional PBE with a Hubbard U.

extended XYZ file:
```
16
Lattice="-0.556 2.782 -1.924 -5.988 -2.180 1.633 0.207 7.383 10.613" Properties=species:S:1:pos:R:3 pbc="T T T"
O 0.000 0.000 0.000
Bi -1.890 4.771 4.390
Bi -1.988 1.271 -0.642
Fe -3.527 6.499 7.362
Bi -4.447 3.214 5.931
O -1.846 7.436 8.229
O -4.451 2.004 4.183
O -1.887 5.981 6.138
Bi -4.350 6.714 10.963
Sr -6.064 2.502 2.316
Sr -0.274 5.483 8.005
Fe -2.811 1.485 2.960
O 0.103 3.691 5.306
O -4.353 4.970 8.442
O -1.985 3.015 1.879
O -4.492 0.549 2.092
```

The density of states at the Fermi level comes out at 0.1696 states/eV/atom. The value obtained for the final energy is -91.73 eV for the cell shown. Its space group is Cmcm (63). The magnetization comes out at 3.948 μB per formula unit.

=====

8.
A relaxed SrFeBi2O5 crystal. Source: the Alexandria database, functional PBE with a Hubbard U.

extended XYZ file:
```
18
Lattice="-0.091 -1.619 -3.512 2.948 -2.302 0.985 -11.613 -12.318 5.978" Properties=species:S:1:pos:R:3 pbc="T T T"
O -2.726 -2.891 1.403
O -5.996 -9.835 2.559
Fe -10.317 -10.943 5.311
Bi -7.442 -7.894 3.831
O 0.191 -2.512 1.153
Bi 1.429 -1.960 -1.263
O -8.887 -9.426 4.575
O -1.328 -2.170 -1.095
Fe -1.296 -1.374 0.667
O -8.856 -12.107 5.810
O 0.000 0.000 0.000
Bi -4.377 -8.119 1.726
Sr -1.014 -4.551 -0.006
O -10.375 -11.766 3.562
Sr -7.741 -11.687 3.457
Bi -4.170 -4.424 2.147
O -5.806 -6.159 2.989
O -2.759 -6.402 0.893
```

The density of states at the Fermi level comes out at 0.1521 states/eV/atom. The value obtained for the final energy is -105.57 eV for the cell shown. Its space group is P4/mmm (123). The magnetization comes out at 4.933 μB per formula unit.

=====

9.
A relaxed SrFeBi2O6 crystal. Source: the Alexandria database, functional PBE with a Hubbard U.

extended XYZ file:
```
10
Lattice="5.816 0.000 0.000 2.908 5.036 0.000 2.908 1.679 5.179" Properties=species:S:1:pos:R:3 pbc="T T T"
O 6.738 2.087 3.968
O 4.254 3.194 3.968
O 4.727 5.261 1.196
Sr 8.723 5.036 3.139
O 6.454 4.792 3.968
O 4.710 1.463 1.196
Fe 2.908 1.679 0.228
Bi 2.908 1.679 4.945
Bi 5.815 3.357 2.170
O 8.008 3.347 1.197
```

The density of states at the Fermi level comes out at 0.2339 states/eV/atom. The value obtained for the final energy is -60.03 eV for the cell shown. Its space group is R3 (146). The magnetization comes out at 4.041 μB per formula unit.

=====

10.
A relaxed SrTiFeBiO6 crystal. Source: the Alexandria database, functional PBE with a Hubbard U.

extended XYZ file:
```
10
Lattice="5.635 0.000 0.000 2.817 4.880 0.000 2.817 1.627 4.633" Properties=species:S:1:pos:R:3 pbc="T T T"
O 5.312 1.605 4.306
O 3.098 3.348 1.912
O 6.985 5.403 1.912
O 6.821 1.009 1.912
Ti 8.452 4.880 3.385
O 7.224 3.798 4.306
Sr 5.635 3.253 2.224
O 4.369 4.357 4.306
Fe 2.817 1.627 0.949
Bi 8.452 4.880 0.254
```

The density of states at the Fermi level comes out at 0.0000 states/eV/atom. The value obtained for the final energy is -71.20 eV for the cell shown. Its space group is R3 (146). The magnetization comes out at 4.961 μB per formula unit.

=====

11.
A relaxed TaFeBi2O crystal. Source: the Alexandria database, functional PBE with a Hubbard U.

extended XYZ file:
```
5
Lattice="-4.660 2.462 0.235 -0.698 -0.963 -3.746 -2.289 -4.484 1.579" Properties=species:S:1:pos:R:3 pbc="T T T"
Bi -2.330 1.231 0.118
Bi -1.144 -2.242 0.789
Fe -3.824 -1.492 -0.966
O 0.000 0.000 0.000
Ta -0.349 -0.481 -1.873
```

The density of states at the Fermi level comes out at 0.4772 states/eV/atom. The value obtained for the final energy is -29.75 eV for the cell shown. Its space group is P4/mmm (123). The magnetization comes out at 3.276 μB per formula unit.

=====

12.
A relaxed TaFeBi2O crystal. Source: the Alexandria database, functional PBE with a Hubbard U.

extended XYZ file:
```
5
Lattice="-4.408 2.800 -1.386 -2.674 -4.464 -0.514 -1.459 0.276 5.195" Properties=species:S:1:pos:R:3 pbc="T T T"
Ta 0.000 0.000 0.000
O -4.270 -0.694 1.647
Fe -1.337 -2.232 -0.257
Bi -0.729 0.138 2.597
Bi -2.204 1.400 -0.693
```

The density of states at the Fermi level comes out at 0.8474 states/eV/atom. The value obtained for the final energy is -24.13 eV for the cell shown. Its space group is P4/mmm (123). The magnetization comes out at 4.987 μB per formula unit.